! TaPd2C PBE optimized geometry; values from VASP
! ΔH_f (0 K) = 0.3881 eV/atom
! D(E_F) = 5.349 states/eV/cell
! Total magnetic moment = 0.000 μB per formula unit
! Crystal system = tetragonal
! Mass density = 11.6 g cm⁻³
&SYSTEM
  ibrav = 0, nat = 8, ntyp = 3
/
ATOMIC_SPECIES
Ta 180.95 Ta.upf
Pd 106.42 Pd.upf
C 12.01 C.upf
ATOMIC_POSITIONS angstrom
Ta 0.000 0.000 0.000
Ta 0.000 3.581 1.130
Pd 1.791 2.559 -0.565
Pd 4.604 1.791 0.565
Pd 1.791 1.023 1.694
Pd -1.023 1.791 2.824
C 3.581 0.000 1.130
C 0.000 0.000 2.259
CELL_PARAMETERS angstrom
-3.581 3.581 2.259
3.581 -3.581 2.259
3.581 3.581 -2.259